Pm8BSe3I4 GGA-PBE optimized geometry; symmetry = No. 166; E_form (uncorrected) = -1.203 eV/atom; total magnetization = 0.00 Bohr magnetons per cell
1.0
-7.012 -4.738 0.058
3.673 -5.360 6.250
-0.478 8.285 1.657
I Se Pm B
4 3 8 1
Cartesian
-3.506 -2.369 0.029
-0.239 4.142 0.828
0.000 0.000 0.000
-3.745 1.773 0.857
-1.669 -5.049 3.154
1.598 1.462 3.954
-1.908 -0.907 3.982
-3.267 0.781 5.954
-4.377 -5.182 2.042
-2.801 -3.350 5.137
0.822 -1.155 5.018
-1.015 1.537 2.828
-4.638 -0.658 2.947
0.561 3.368 5.923
-0.549 -2.595 2.011
1.837 -2.680 3.125